Record 1
First-principles (PBE) data for crystalline ErPaPt4 at its relaxed geometry, as listed in Alexandria.

a = 7.6753 Å, b = 7.6753 Å, c = 7.6753 Å
α = 90.00°, β = 90.00°, γ = 90.00°
With the nearest neighbours (Å) after each atom.
Space group F-43m (No. 216)
Asymmetric unit:
Er: 0.0000 0.0000 0.0000 x4  12 Pt 3.18, 4 Pa 3.32
Pa: 0.2500 0.2500 0.2500 x4  12 Pt 3.18, 4 Er 3.32
Pt: 0.1253 0.1253 0.6253 x16  6 Pt 2.71-2.72

DFT formation energy (eV per formula unit): -5.94
Magnetization (μB per cell): 0.0

Record 2
First-principles (PBE) data for crystalline FePAu2 at its relaxed geometry, as listed in Alexandria.

a = 2.9462 Å, b = 2.9462 Å, c = 6.9950 Å
α = 90.00°, β = 90.00°, γ = 90.00°
With the nearest neighbours (Å) after each atom.
Space group P4mm (No. 99)
Asymmetric unit:
Fe: 0.0000 0.0000 0.0000 x1  4 P 2.26
P: 0.5000 0.5000 0.1239 x1  4 Fe 2.26
Au: 0.0000 0.0000 0.4183 x1  1 Fe 2.93, 4 P 2.93, 8 Au 2.95-2.97
Au: 0.5000 0.5000 0.7201 x1  1 P 2.82, 4 Fe 2.86, 8 Au 2.95-2.97

DFT formation energy (eV per formula unit): 0.24
Magnetization (μB per cell): 1.0

Record 3
First-principles (PBE) data for crystalline NaPbAu2 at its relaxed geometry, as listed in Alexandria.

a = 3.7457 Å, b = 3.7457 Å, c = 6.3629 Å
α = 90.00°, β = 90.00°, γ = 90.00°
With the nearest neighbours (Å) after each atom.
Space group P4/mmm (No. 123)
Asymmetric unit:
Na: 0.0000 0.0000 0.0000 x1  8 Au 3.03, 2 Pb 3.18
Pb: 0.0000 0.0000 0.5000 x1  8 Au 3.15, 2 Na 3.18
Au: 0.5000 0.5000 0.2321 x2  1 Au 2.95, 4 Na 3.03, 4 Pb 3.15

DFT formation energy (eV per formula unit): -0.69
Magnetization (μB per cell): 0.0

Record 4
First-principles (PBE) data for crystalline LaTi2Pt2 at its relaxed geometry, as listed in Alexandria.

a = 7.8591 Å, b = 7.8591 Å, c = 3.1411 Å
α = 90.00°, β = 90.00°, γ = 90.00°
With the nearest neighbours (Å) after each atom.
Space group P4/mbm (No. 127)
Asymmetric unit:
La: 0.0000 0.0000 0.0000 x2  4 Pt 3.09, 2 La 3.14, 8 Ti 3.36
Ti: 0.1565 0.3435 0.5000 x4  6 Pt 2.74-2.87
Pt: 0.1275 0.6275 0.0000 x4  6 Ti 2.74-2.87, 1 Pt 2.83

DFT formation energy (eV per formula unit): -2.92
Magnetization (μB per cell): 0.0

Record 5
First-principles (PBE) data for crystalline Tb4InBiTe2 at its relaxed geometry, as listed in Alexandria.

a = 7.7110 Å, b = 4.3334 Å, c = 7.7213 Å
α = 90.00°, β = 108.62°, γ = 90.00°
With the nearest neighbours (Å) after each atom.
Space group P2/m (No. 10)
Asymmetric unit:
Tb: 0.2429 0.0000 0.2542 x2  1 In 3.06, 2 Bi 3.12, 3 Te 3.13-3.20
Tb: 0.2454 0.5000 0.7457 x2  2 In 3.10, 1 Bi 3.13, 3 Te 3.14-3.15
In: 0.0000 0.0000 0.5000 x1  6 Tb 3.06-3.10
Bi: 0.0000 0.5000 0.0000 x1  6 Tb 3.12-3.13
Te: 0.5000 0.0000 0.0000 x1  6 Tb 3.15-3.20
Te: 0.5000 0.5000 0.5000 x1  6 Tb 3.13-3.14

Magnetization (μB per cell): 0.0
E_form (uncorrected) (kJ/mol of formula units): -756

Record 6
First-principles (PBE) data for crystalline LiZr2F8 at its relaxed geometry, as listed in Alexandria.

a = 6.8221 Å, b = 10.2120 Å, c = 4.1654 Å
α = 90.00°, β = 101.22°, γ = 90.00°
With the nearest neighbours (Å) after each atom.
Space group C2/m (No. 12)
Asymmetric unit:
Li: 0.0000 0.0000 0.0000 x2  4 F 1.93
Zr: 0.0000 0.3225 0.0000 x4  8 F 2.16-2.23
F: 0.0000 0.2676 0.5000 x4  2 Zr 2.16
F: 0.0977 0.5000 0.2685 x4  2 Zr 2.17, 1 F 2.37
F: 0.1888 0.1422 0.0615 x8  1 Li 1.93

Magnetization (μB per cell): 2.0
E_form (uncorrected) (kJ/mol of formula units): -3621

no.,N(E_F) (states/eV per cell)
1,8.525
2,2.456
3,0.871
4,10.919
5,2.751
6,5.684